First-principles (PBE-GGA) data for an optimized crystal structure of Cd2RePt, as listed in the Alexandria database.

Unit cell a=5.230 b=5.230 c=2.758 alpha=90.00 beta=90.00 gamma=112.24
Sites, in units of the cell vectors:
Cd 0.000 0.500 0.000
Cd 0.500 0.000 0.000
Re 0.000 0.000 0.500
Pt 0.500 0.500 0.500

Computed properties:
offset from the most stable computed form	22.2	kJ per mole of atoms
calculated density	14.41	g/cm³
D(E_F)	3.72	states/eV/cell
magnetic moment	0.000	μB/atom
uncorrected energy	-4.726	eV/atom

=====

First-principles (PBE-GGA) data for an optimized crystal structure of Cd4RePt, as listed in the Alexandria database.

Unit cell a=5.461 b=5.461 c=5.461 alpha=60.00 beta=60.00 gamma=60.00
Sites, in units of the cell vectors:
Cd 0.125 0.125 0.125
Cd 0.125 0.125 0.625
Cd 0.125 0.625 0.125
Cd 0.625 0.125 0.125
Re 0.500 0.500 0.500
Pt 0.750 0.750 0.750

Computed properties:
calculated density	11.98	g/cm³
D(E_F)	8.19	states/eV/cell
magnetic moment	0.372	μB/atom
uncorrected energy	-2.934	eV/atom

=====

First-principles (PBE-GGA) data for an optimized crystal structure of Cd2RePt, as listed in the Alexandria database.

Unit cell a=9.924 b=9.924 c=9.924 alpha=16.78 beta=16.78 gamma=16.78
Sites, in units of the cell vectors:
Cd 0.000 0.000 0.000
Cd 0.238 0.238 0.238
Re 0.487 0.487 0.487
Pt 0.749 0.749 0.749

Computed properties:
offset from the most stable computed form	4.6	kJ per mole of atoms
calculated density	14.17	g/cm³
D(E_F)	4.91	states/eV/cell
magnetic moment	0.000	μB/atom
uncorrected energy	-4.907	eV/atom

=====

First-principles (PBE-GGA) data for an optimized crystal structure of Cd2RePt, as listed in the Alexandria database.

Unit cell a=2.827 b=4.972 c=5.003 alpha=90.00 beta=90.00 gamma=90.00
Sites, in units of the cell vectors:
Cd 0.000 0.000 0.000
Cd 0.500 0.000 0.500
Re 0.000 0.500 0.500
Pt 0.500 0.500 0.000

Computed properties:
offset from the most stable computed form	24.9	kJ per mole of atoms
calculated density	14.31	g/cm³
D(E_F)	2.61	states/eV/cell
magnetic moment	0.216	μB/atom
uncorrected energy	-4.697	eV/atom

=====

First-principles (PBE-GGA) data for an optimized crystal structure of Cd2RePt, as listed in the Alexandria database.

Unit cell a=2.815 b=2.815 c=8.775 alpha=90.00 beta=90.00 gamma=90.00
Sites, in units of the cell vectors:
Cd 0.000 0.000 0.242
Cd 0.000 0.000 0.758
Re 0.500 0.500 0.500
Pt 0.500 0.500 0.000

Computed properties:
offset from the most stable computed form	17.1	kJ per mole of atoms
calculated density	14.48	g/cm³
D(E_F)	2.80	states/eV/cell
magnetic moment	0.000	μB/atom
uncorrected energy	-4.778	eV/atom

=====

First-principles (PBE-GGA) data for an optimized crystal structure of Cd2RePt, as listed in the Alexandria database.

Unit cell a=5.191 b=5.191 c=5.191 alpha=134.05 beta=134.05 gamma=67.01
Sites, in units of the cell vectors:
Cd 0.250 0.750 0.500
Cd 0.750 0.250 0.500
Re 0.000 0.000 0.000
Pt 0.500 0.500 0.000

Computed properties:
offset from the most stable computed form	38.2	kJ per mole of atoms
calculated density	14.16	g/cm³
D(E_F)	3.69	states/eV/cell
magnetic moment	0.467	μB/atom
uncorrected energy	-4.560	eV/atom